1.
The following is a DFT calculation (PBE) of an optimized crystal structure of Tm2Ti2GaRh5.

Values from the calculation:
* magnetization: 0.000 μB/f.u.
* SG: P4/mbm
* formation enthalpy at 0 K: -662 meV/atom
* theoretical density: 9.9 g/cm3

Cell lengths 3.1512, 10.4087, 10.4087 Å; angles 90.00, 90.00, 90.00 degrees
With the nearest neighbours (Å) after each atom.
Fractional positions:
Rh 0.5000 0.1971 0.0496  2 Ti 2.52, 2 Ga 2.64
Rh 0.5000 0.4504 0.3029  2 Ti 2.52, 2 Ga 2.64
Rh 0.5000 0.0000 0.5000  4 Ti 2.52
Rh 0.5000 0.3029 0.5496  2 Ti 2.52, 2 Ga 2.64
Rh 0.5000 0.9504 0.1971  2 Ti 2.52, 2 Ga 2.64
Rh 0.5000 0.6971 0.4504  2 Ti 2.52, 2 Ga 2.64
Rh 0.5000 0.8029 0.9504  2 Ti 2.52, 2 Ga 2.64
Rh 0.5000 0.0496 0.8029  2 Ti 2.52, 2 Ga 2.64
Rh 0.5000 0.5496 0.6971  2 Ti 2.52, 2 Ga 2.64
Rh 0.5000 0.5000 0.0000  4 Ti 2.52
Ga 0.0000 0.5000 0.5000  8 Rh 2.64
Ga 0.0000 0.0000 0.0000  8 Rh 2.64
Tm 0.0000 0.3274 0.8274  1 Ti 2.85, 6 Rh 2.99-3.11, 2 Tm 3.15
Tm 0.0000 0.8274 0.6726  1 Ti 2.85, 6 Rh 2.99-3.11, 2 Tm 3.15
Tm 0.0000 0.1726 0.3274  1 Ti 2.85, 6 Rh 2.99-3.11, 2 Tm 3.15
Tm 0.0000 0.6726 0.1726  1 Ti 2.85, 6 Rh 2.99-3.11, 2 Tm 3.15
Ti 0.0000 0.1335 0.6335  6 Rh 2.52
Ti 0.0000 0.8665 0.3665  6 Rh 2.52
Ti 0.0000 0.3665 0.1335  6 Rh 2.52
Ti 0.0000 0.6335 0.8665  6 Rh 2.52

2.
The following is a DFT calculation (PBE) of an optimized crystal structure of Tm2TiGa2Rh5.

Values from the calculation:
* magnetization: 0.000 μB/f.u.
* SG: P4/mbm
* formation enthalpy at 0 K: -834 meV/atom
* theoretical density: 10.3 g/cm3

Cell lengths 3.4576, 9.8369, 9.8369 Å; angles 90.00, 90.00, 90.00 degrees
With the nearest neighbours (Å) after each atom.
Fractional positions:
Rh 0.5000 0.5659 0.7000  2 Ga 2.50, 2 Ti 2.70
Rh 0.5000 0.9341 0.2000  2 Ga 2.50, 2 Ti 2.70
Rh 0.5000 0.5000 0.0000  4 Ga 2.47
Rh 0.5000 0.0000 0.5000  4 Ga 2.47
Rh 0.5000 0.0659 0.8000  2 Ga 2.50, 2 Ti 2.70
Rh 0.5000 0.3000 0.5659  2 Ga 2.50, 2 Ti 2.70
Rh 0.5000 0.8000 0.9341  2 Ga 2.50, 2 Ti 2.70
Rh 0.5000 0.4341 0.3000  2 Ga 2.50, 2 Ti 2.70
Rh 0.5000 0.2000 0.0659  2 Ga 2.50, 2 Ti 2.70
Rh 0.5000 0.7000 0.4341  2 Ga 2.50, 2 Ti 2.70
Ga 0.0000 0.1272 0.6272  6 Rh 2.47-2.50
Ga 0.0000 0.6272 0.8728  6 Rh 2.47-2.50
Ga 0.0000 0.3728 0.1272  6 Rh 2.47-2.50
Ga 0.0000 0.8728 0.3728  6 Rh 2.47-2.50
Ti 0.0000 0.5000 0.5000  8 Rh 2.70
Ti 0.0000 0.0000 0.0000  8 Rh 2.70
Tm 0.0000 0.8284 0.6716  3 Ga 2.80-2.97, 6 Rh 2.95-3.12
Tm 0.0000 0.1716 0.3284  3 Ga 2.80-2.97, 6 Rh 2.95-3.12
Tm 0.0000 0.6716 0.1716  3 Ga 2.80-2.97, 6 Rh 2.95-3.12
Tm 0.0000 0.3284 0.8284  3 Ga 2.80-2.97, 6 Rh 2.95-3.12

3.
The following is a DFT calculation (PBE) of an optimized crystal structure of Ti2GaRhW.

Values from the calculation:
* magnetization: 0.000 μB/f.u.
* SG: P4/mmm
* formation enthalpy at 0 K: 867 meV/atom
* theoretical density: 7.0 g/cm3

Cell lengths 4.7627, 4.6980, 4.7627 Å; angles 90.00, 90.00, 90.00 degrees
With the nearest neighbours (Å) after each atom.
Fractional positions:
W 0.0000 0.0000 0.0000  2 Rh 2.35, 4 Ti 2.38
Ga 0.5000 0.5000 0.5000  8 Ti 3.34, 4 Rh 3.37
Ti 0.0000 0.0000 0.5000  2 W 2.38
Ti 0.5000 0.0000 0.0000  2 W 2.38
Rh 0.0000 0.5000 0.0000  2 W 2.35

4.
The following is a DFT calculation (PBE) of an optimized crystal structure of Y2Ti2GaRh5.

Values from the calculation:
* magnetization: 0.000 μB/f.u.
* SG: P4/mbm
* formation enthalpy at 0 K: -635 meV/atom
* theoretical density: 8.2 g/cm3

Cell lengths 3.1575, 10.4831, 10.4831 Å; angles 90.00, 90.00, 90.00 degrees
With the nearest neighbours (Å) after each atom.
Fractional positions:
Ga 0.0000 0.0000 0.0000  8 Rh 2.65
Ga 0.0000 0.5000 0.5000  8 Rh 2.65
Y 0.0000 0.1735 0.3265  1 Ti 2.87, 6 Rh 3.02-3.15, 2 Y 3.16
Y 0.0000 0.3265 0.8265  1 Ti 2.87, 6 Rh 3.02-3.15, 2 Y 3.16
Y 0.0000 0.8265 0.6735  1 Ti 2.87, 6 Rh 3.02-3.15, 2 Y 3.16
Y 0.0000 0.6735 0.1735  1 Ti 2.87, 6 Rh 3.02-3.15, 2 Y 3.16
Rh 0.5000 0.5000 0.0000  4 Ti 2.52
Rh 0.5000 0.6961 0.4485  2 Ti 2.54, 2 Ga 2.65
Rh 0.5000 0.0515 0.8039  2 Ti 2.54, 2 Ga 2.65
Rh 0.5000 0.9485 0.1961  2 Ti 2.54, 2 Ga 2.65
Rh 0.5000 0.3039 0.5515  2 Ti 2.54, 2 Ga 2.65
Rh 0.5000 0.1961 0.0515  2 Ti 2.54, 2 Ga 2.65
Rh 0.5000 0.8039 0.9485  2 Ti 2.54, 2 Ga 2.65
Rh 0.5000 0.5515 0.6961  2 Ti 2.54, 2 Ga 2.65
Rh 0.5000 0.4485 0.3039  2 Ti 2.54, 2 Ga 2.65
Rh 0.5000 0.0000 0.5000  4 Ti 2.52
Ti 0.0000 0.8672 0.3672  6 Rh 2.52-2.54
Ti 0.0000 0.3672 0.1328  6 Rh 2.52-2.54
Ti 0.0000 0.1328 0.6328  6 Rh 2.52-2.54
Ti 0.0000 0.6328 0.8672  6 Rh 2.52-2.54

5.
The following is a DFT calculation (PBE) of an optimized crystal structure of Y2TiGa2Rh5.

Values from the calculation:
* magnetization: 0.000 μB/f.u.
* SG: P4/mbm
* formation enthalpy at 0 K: -801 meV/atom
* theoretical density: 8.6 g/cm3

Cell lengths 3.4654, 9.9179, 9.9179 Å; angles 90.00, 90.00, 90.00 degrees
With the nearest neighbours (Å) after each atom.
Fractional positions:
Ga 0.0000 0.1267 0.6267  6 Rh 2.48-2.51
Ga 0.0000 0.8733 0.3733  6 Rh 2.48-2.51
Ga 0.0000 0.6267 0.8733  6 Rh 2.48-2.51
Ga 0.0000 0.3733 0.1267  6 Rh 2.48-2.51
Y 0.0000 0.8278 0.6722  3 Ga 2.82-3.00, 6 Rh 2.97-3.14
Y 0.0000 0.6722 0.1722  3 Ga 2.82-3.00, 6 Rh 2.97-3.14
Y 0.0000 0.1722 0.3278  3 Ga 2.82-3.00, 6 Rh 2.97-3.14
Y 0.0000 0.3278 0.8278  3 Ga 2.82-3.00, 6 Rh 2.97-3.14
Rh 0.5000 0.4350 0.2998  2 Ga 2.51, 2 Ti 2.71
Rh 0.5000 0.2002 0.0650  2 Ga 2.51, 2 Ti 2.71
Rh 0.5000 0.2998 0.5650  2 Ga 2.51, 2 Ti 2.71
Rh 0.5000 0.7998 0.9350  2 Ga 2.51, 2 Ti 2.71
Rh 0.5000 0.0000 0.5000  4 Ga 2.48
Rh 0.5000 0.7002 0.4350  2 Ga 2.51, 2 Ti 2.71
Rh 0.5000 0.0650 0.7998  2 Ga 2.51, 2 Ti 2.71
Rh 0.5000 0.9350 0.2002  2 Ga 2.51, 2 Ti 2.71
Rh 0.5000 0.5650 0.7002  2 Ga 2.51, 2 Ti 2.71
Rh 0.5000 0.5000 0.0000  4 Ga 2.48
Ti 0.0000 0.0000 0.0000  8 Rh 2.71
Ti 0.0000 0.5000 0.5000  8 Rh 2.71

6.
The following is a DFT calculation (PBE) of an optimized crystal structure of Zr2TiGa2Rh5.

Values from the calculation:
* magnetization: 0.000 μB/f.u.
* SG: P4/mbm
* formation enthalpy at 0 K: -726 meV/atom
* theoretical density: 9.1 g/cm3

Cell lengths 3.6160, 9.4579, 9.4579 Å; angles 90.00, 90.00, 90.00 degrees
With the nearest neighbours (Å) after each atom.
Fractional positions:
Rh 0.5000 0.0000 0.5000  4 Ga 2.48
Rh 0.5000 0.7019 0.4347  2 Ga 2.50, 2 Ti 2.70
Rh 0.5000 0.9347 0.2019  2 Ga 2.50, 2 Ti 2.70
Rh 0.5000 0.2019 0.0653  2 Ga 2.50, 2 Ti 2.70
Rh 0.5000 0.5000 0.0000  4 Ga 2.48
Rh 0.5000 0.0653 0.7981  2 Ga 2.50, 2 Ti 2.70
Rh 0.5000 0.2981 0.5653  2 Ga 2.50, 2 Ti 2.70
Rh 0.5000 0.7981 0.9347  2 Ga 2.50, 2 Ti 2.70
Rh 0.5000 0.5653 0.7019  2 Ga 2.50, 2 Ti 2.70
Rh 0.5000 0.4347 0.2981  2 Ga 2.50, 2 Ti 2.70
Ti 0.0000 0.5000 0.5000  8 Rh 2.70
Ti 0.0000 0.0000 0.0000  8 Rh 2.70
Zr 0.0000 0.1718 0.3282  3 Ga 2.69-2.86, 2 Rh 2.92
Zr 0.0000 0.6718 0.1718  3 Ga 2.69-2.86, 2 Rh 2.92
Zr 0.0000 0.3282 0.8282  3 Ga 2.69-2.86, 2 Rh 2.92
Zr 0.0000 0.8282 0.6718  3 Ga 2.69-2.86, 2 Rh 2.92
Ga 0.0000 0.6268 0.8732  6 Rh 2.48-2.50, 1 Zr 2.69
Ga 0.0000 0.3732 0.1268  6 Rh 2.48-2.50, 1 Zr 2.69
Ga 0.0000 0.1268 0.6268  6 Rh 2.48-2.50, 1 Zr 2.69
Ga 0.0000 0.8732 0.3732  6 Rh 2.48-2.50, 1 Zr 2.69

7.
The following is a DFT calculation (PBE) of an optimized crystal structure of TlGa2Rh2.

Values from the calculation:
* magnetization: 0.000 μB/f.u.
* SG: P4/mbm
* relative energy among the computed polymorphs: 0.0 meV per atom
* formation enthalpy at 0 K: -359 meV/atom
* theoretical density: 11.0 g/cm3

Cell lengths 7.4010, 7.4010, 3.0256 Å; angles 90.00, 90.00, 90.00 degrees
With the nearest neighbours (Å) after each atom.
Fractional positions:
Ga 0.3581 0.1419 0.5000  6 Rh 2.64-2.65
Ga 0.1419 0.6419 0.5000  6 Rh 2.64-2.65
Ga 0.8581 0.3581 0.5000  6 Rh 2.64-2.65
Ga 0.6419 0.8581 0.5000  6 Rh 2.64-2.65
Rh 0.6512 0.1512 0.0000  6 Ga 2.64-2.65, 2 Tl 2.81
Rh 0.1512 0.3488 0.0000  6 Ga 2.64-2.65, 2 Tl 2.81
Rh 0.8488 0.6512 0.0000  6 Ga 2.64-2.65, 2 Tl 2.81
Rh 0.3488 0.8488 0.0000  6 Ga 2.64-2.65, 2 Tl 2.81
Tl 0.5000 0.5000 0.0000  4 Rh 2.81, 2 Tl 3.03
Tl 0.0000 0.0000 0.0000  4 Rh 2.81, 2 Tl 3.03

8.
The following is a DFT calculation (PBE) of an optimized crystal structure of TlGaRh2.

Values from the calculation:
* magnetization: 0.000 μB/f.u.
* SG: P4/mmm
* formation enthalpy at 0 K: -292 meV/atom
* theoretical density: 12.3 g/cm3

Cell lengths 3.0458, 3.0458, 6.9607 Å; angles 90.00, 90.00, 90.00 degrees
With the nearest neighbours (Å) after each atom.
Fractional positions:
Rh 0.0000 0.0000 0.7867  4 Ga 2.62
Rh 0.0000 0.0000 0.2133  4 Ga 2.62
Tl 0.5000 0.5000 0.5000  8 Rh 2.94, 4 Tl 3.05
Ga 0.5000 0.5000 0.0000  8 Rh 2.62

9.
The following is a DFT calculation (PBE) of an optimized crystal structure of TlGa2Rh2.

Values from the calculation:
* magnetization: 0.000 μB/f.u.
* SG: P4/mbm
* relative energy among the computed polymorphs: 89.7 meV per atom
* formation enthalpy at 0 K: -270 meV/atom
* theoretical density: 11.0 g/cm3

Cell lengths 7.5341, 7.5341, 2.9231 Å; angles 90.00, 90.00, 90.00 degrees
With the nearest neighbours (Å) after each atom.
Fractional positions:
Ga 0.6390 0.1390 0.0000  6 Rh 2.63-2.68, 2 Tl 2.91, 2 Ga 2.92
Ga 0.8610 0.6390 0.0000  6 Rh 2.63-2.68, 2 Tl 2.91, 2 Ga 2.92
Ga 0.1390 0.3610 0.0000  6 Rh 2.63-2.68, 2 Tl 2.91, 2 Ga 2.92
Ga 0.3610 0.8610 0.0000  6 Rh 2.63-2.68, 2 Tl 2.91, 2 Ga 2.92
Tl 0.5000 0.5000 0.0000  4 Ga 2.91, 2 Tl 2.92, 8 Rh 3.22
Tl 0.0000 0.0000 0.0000  4 Ga 2.91, 2 Tl 2.92, 8 Rh 3.22
Rh 0.6507 0.8493 0.5000  6 Ga 2.63-2.68, 2 Rh 2.92
Rh 0.1507 0.6507 0.5000  6 Ga 2.63-2.68, 2 Rh 2.92
Rh 0.8493 0.3493 0.5000  6 Ga 2.63-2.68, 2 Rh 2.92
Rh 0.3493 0.1507 0.5000  6 Ga 2.63-2.68, 2 Rh 2.92

10.
The following is a DFT calculation (PBE) of an optimized crystal structure of TlGaRh2.

Values from the calculation:
* magnetization: 0.001 μB/f.u.
* SG: R3m
* formation enthalpy at 0 K: -144 meV/atom
* theoretical density: 11.6 g/cm3

Cell lengths 3.1954, 3.1954, 7.9922 Å; angles 78.47, 78.47, 60.00 degrees
With the nearest neighbours (Å) after each atom.
Fractional positions:
Rh 0.0738 0.0738 0.7787  3 Ga 2.52
Rh 0.2596 0.2596 0.2213  3 Ga 2.52
Ga 0.6668 0.6668 0.9996  6 Rh 2.52
Tl 0.4999 0.4999 0.5004  6 Rh 2.84-2.85

11.
The following is a DFT calculation (PBE) of an optimized crystal structure of Tl3GaRh.

Values from the calculation:
* magnetization: 0.000 μB/f.u.
* SG: Pm-3m
* relative energy among the computed polymorphs: 0.0 meV per atom
* formation enthalpy at 0 K: 166 meV/atom
* theoretical density: 8.9 g/cm3

Cell lengths 5.2661, 5.2661, 5.2661 Å; angles 90.00, 90.00, 90.00 degrees
With the nearest neighbours (Å) after each atom.
Fractional positions:
Tl 0.0000 0.5000 0.0000  2 Rh 2.63
Tl 0.5000 0.0000 0.0000  2 Rh 2.63
Tl 0.0000 0.0000 0.5000  2 Rh 2.63
Ga 0.5000 0.5000 0.5000  12 Tl 3.72
Rh 0.0000 0.0000 0.0000  6 Tl 2.63